Below is Y4Hf2Fe3C3 after structural relaxation, with properties calculated at the PBE level.

total magnetic moment: 6.9 μB per formula unit
electronic total energy: -401.64 eV per cell

a = 10.415 Å, b = 5.990 Å, c = 14.573 Å
α = 90.00°, β = 104.55°, γ = 90.00°
Space group C2/c (No. 15)
Unique sites:
Y  0.120  0.079  0.106 [8 per cell]
Y  0.211  0.087  0.394 [8 per cell]
Hf  0.061  0.413  0.922 [8 per cell]
Fe  0.000  0.362  0.250 [4 per cell]
Fe  0.110  0.307  0.749 [8 per cell]
C  0.079  0.264  0.501 [8 per cell]
C  0.250  0.250  0.000 [4 per cell]